1.
# Pu2F13, optimized geometry, DFT PBE
data_Pu2F13
_cell_length_a 5.476
_cell_length_b 6.398
_cell_length_c 8.957
_cell_angle_alpha 99.07
_cell_angle_beta 72.47
_cell_angle_gamma 102.97
_space_group_name_H-M_alt 'P 1'
_space_group_IT_number 1
loop_
_space_group_symop_operation_xyz
'x,y,z'
loop_
_atom_site_label
_atom_site_fract_x
_atom_site_fract_y
_atom_site_fract_z
F1 0.901 0.490 0.688
F2 0.186 0.917 0.701
F3 0.500 0.500 0.500
F4 0.567 0.355 0.160
F5 0.846 0.748 0.977
F6 0.283 0.930 0.152
F7 0.220 0.176 0.444
F8 0.433 0.645 0.840
F9 0.814 0.083 0.299
F10 0.099 0.510 0.312
F11 0.154 0.252 0.023
F12 0.780 0.824 0.556
Pu1 0.191 0.220 0.234
Pu2 0.809 0.780 0.766
F13 0.717 0.070 0.848
# Energy relative to the elements, uncorrected in eV per atom: -2.595
# Crystal system: triclinic

2.
# TaCoRe2, optimized geometry, DFT PBE
data_TaCoRe2
_cell_length_a 4.387
_cell_length_b 4.387
_cell_length_c 4.387
_cell_angle_alpha 60.00
_cell_angle_beta 60.00
_cell_angle_gamma 60.00
_space_group_name_H-M_alt 'P 1'
_space_group_IT_number 1
loop_
_space_group_symop_operation_xyz
'x,y,z'
loop_
_atom_site_label
_atom_site_fract_x
_atom_site_fract_y
_atom_site_fract_z
Co1 0.000 0.000 0.000
Ta1 0.500 0.500 0.500
Re1 0.250 0.250 0.250
Re2 0.750 0.750 0.750
# Crystal system: cubic
# Energy of formation in eV/atom: 0.151

3.
# Ac5In4, optimized geometry, DFT PBE
data_Ac5In4
_cell_length_a 5.152
_cell_length_b 6.707
_cell_length_c 10.961
_cell_angle_alpha 77.40
_cell_angle_beta 76.41
_cell_angle_gamma 67.42
_space_group_name_H-M_alt 'P 1'
_space_group_IT_number 1
loop_
_space_group_symop_operation_xyz
'x,y,z'
loop_
_atom_site_label
_atom_site_fract_x
_atom_site_fract_y
_atom_site_fract_z
In1 0.454 0.260 0.833
Ac1 0.000 0.000 0.000
In2 0.383 0.621 0.613
In3 0.617 0.379 0.387
Ac2 0.897 0.812 0.394
In4 0.546 0.740 0.167
Ac3 0.242 0.344 0.172
Ac4 0.103 0.188 0.606
Ac5 0.758 0.656 0.828
# Crystal system: monoclinic
# Energy of formation in eV/atom: -0.380

4.
# TaSi5, optimized geometry, DFT PBE
data_TaSi5
_cell_length_a 4.950
_cell_length_b 4.950
_cell_length_c 4.950
_cell_angle_alpha 60.00
_cell_angle_beta 60.00
_cell_angle_gamma 60.00
_space_group_name_H-M_alt 'P 1'
_space_group_IT_number 1
loop_
_space_group_symop_operation_xyz
'x,y,z'
loop_
_atom_site_label
_atom_site_fract_x
_atom_site_fract_y
_atom_site_fract_z
Si1 0.624 0.624 0.127
Si2 0.250 0.250 0.250
Si3 0.127 0.624 0.624
Si4 0.624 0.624 0.624
Ta1 0.000 0.000 0.000
Si5 0.624 0.127 0.624
# Energy relative to the elements, uncorrected in eV per atom: 0.310
# Crystal system: cubic

5.
# RbBaWS2, optimized geometry, DFT PBE
data_RbBaWS2
_cell_length_a 4.889
_cell_length_b 5.767
_cell_length_c 4.889
_cell_angle_alpha 90.00
_cell_angle_beta 90.00
_cell_angle_gamma 90.00
_space_group_name_H-M_alt 'P 1'
_space_group_IT_number 1
loop_
_space_group_symop_operation_xyz
'x,y,z'
loop_
_atom_site_label
_atom_site_fract_x
_atom_site_fract_y
_atom_site_fract_z
S1 0.000 0.000 0.500
Ba1 0.000 0.500 0.000
W1 0.000 0.000 0.000
Rb1 0.500 0.500 0.500
S2 0.500 0.000 0.000
# Energy relative to the elements, uncorrected in eV per atom: 0.017
# Crystal system: tetragonal

6.
# Sr2InCoTc, optimized geometry, DFT PBE
data_Sr2InCoTc
_cell_length_a 6.141
_cell_length_b 4.729
_cell_length_c 6.141
_cell_angle_alpha 90.00
_cell_angle_beta 90.00
_cell_angle_gamma 90.00
_space_group_name_H-M_alt 'P 1'
_space_group_IT_number 1
loop_
_space_group_symop_operation_xyz
'x,y,z'
loop_
_atom_site_label
_atom_site_fract_x
_atom_site_fract_y
_atom_site_fract_z
Sr1 0.000 0.000 0.500
Tc1 0.500 0.500 0.500
In1 0.000 0.000 0.000
Co1 0.000 0.500 0.000
Sr2 0.500 0.000 0.000
# Crystal system: tetragonal
# Energy of formation in eV/atom: 1.250

7.
# Cs3LiI3, optimized geometry, DFT PBE
data_Cs3LiI3
_cell_length_a 9.405
_cell_length_b 9.405
_cell_length_c 9.643
_cell_angle_alpha 95.13
_cell_angle_beta 95.13
_cell_angle_gamma 110.47
_space_group_name_H-M_alt 'P 1'
_space_group_IT_number 1
loop_
_space_group_symop_operation_xyz
'x,y,z'
loop_
_atom_site_label
_atom_site_fract_x
_atom_site_fract_y
_atom_site_fract_z
I1 0.080 0.080 0.819
Cs1 0.583 0.583 0.281
I2 0.128 0.437 0.276
I3 0.872 0.563 0.724
Cs2 0.829 0.171 0.500
Li1 0.182 0.182 0.134
Cs3 0.417 0.417 0.719
Cs4 0.763 0.237 0.000
I4 0.563 0.872 0.724
I5 0.920 0.920 0.181
Cs5 0.237 0.763 0.000
Li2 0.818 0.818 0.866
I6 0.437 0.128 0.276
Cs6 0.171 0.829 0.500
# Energy relative to the elements, uncorrected in eV per atom: -1.168
# Crystal system: monoclinic

8.
# Ho3Ga2Ni7, optimized geometry, DFT PBE
data_Ho3Ga2Ni7
_cell_length_a 5.136
_cell_length_b 5.136
_cell_length_c 8.454
_cell_angle_alpha 72.31
_cell_angle_beta 72.31
_cell_angle_gamma 60.00
_space_group_name_H-M_alt 'P 1'
_space_group_IT_number 1
loop_
_space_group_symop_operation_xyz
'x,y,z'
loop_
_atom_site_label
_atom_site_fract_x
_atom_site_fract_y
_atom_site_fract_z
Ho1 0.859 0.859 0.422
Ga1 0.332 0.332 0.003
Ho2 0.141 0.141 0.578
Ni1 0.418 0.418 0.248
Ni2 0.582 0.085 0.752
Ni3 0.582 0.582 0.752
Ni4 0.500 0.500 0.500
Ga2 0.668 0.668 0.997
Ni5 0.085 0.582 0.752
Ho3 0.000 0.000 0.000
Ni6 0.915 0.418 0.248
Ni7 0.418 0.915 0.248
# Crystal system: trigonal
# Energy of formation in eV/atom: -0.521

9.
# SrErB2O6, optimized geometry, DFT PBE
data_SrErB2O6
_cell_length_a 6.394
_cell_length_b 6.394
_cell_length_c 6.781
_cell_angle_alpha 101.26
_cell_angle_beta 101.26
_cell_angle_gamma 102.00
_space_group_name_H-M_alt 'P 1'
_space_group_IT_number 1
loop_
_space_group_symop_operation_xyz
'x,y,z'
loop_
_atom_site_label
_atom_site_fract_x
_atom_site_fract_y
_atom_site_fract_z
O1 0.780 0.840 0.378
O2 0.840 0.780 0.878
O3 0.298 0.532 0.405
O4 0.532 0.298 0.905
O5 0.076 0.549 0.785
Er1 0.421 0.579 0.750
B1 0.121 0.394 0.250
O6 0.451 0.924 0.715
O7 0.468 0.702 0.095
O8 0.702 0.468 0.595
B2 0.879 0.606 0.750
Er2 0.579 0.421 0.250
O9 0.160 0.220 0.122
Sr1 0.130 0.870 0.250
O10 0.549 0.076 0.285
O11 0.924 0.451 0.215
O12 0.220 0.160 0.622
Sr2 0.870 0.130 0.750
B3 0.606 0.879 0.250
B4 0.394 0.121 0.750
# Energy relative to the elements, uncorrected in eV per atom: -2.752
# Crystal system: monoclinic

10.
# Ac2La2Ge, optimized geometry, DFT PBE
data_Ac2La2Ge
_cell_length_a 4.208
_cell_length_b 4.208
_cell_length_c 10.898
_cell_angle_alpha 101.13
_cell_angle_beta 101.13
_cell_angle_gamma 90.00
_space_group_name_H-M_alt 'P 1'
_space_group_IT_number 1
loop_
_space_group_symop_operation_xyz
'x,y,z'
loop_
_atom_site_label
_atom_site_fract_x
_atom_site_fract_y
_atom_site_fract_z
Ge1 0.000 0.000 0.000
La1 0.250 0.750 0.500
Ac1 0.580 0.580 0.160
Ac2 0.420 0.420 0.840
La2 0.750 0.250 0.500
# Crystal system: tetragonal
# Energy of formation in eV/atom: 0.123

11.
# AlHgH2, optimized geometry, DFT PBE
data_AlHgH2
_cell_length_a 4.140
_cell_length_b 4.140
_cell_length_c 4.140
_cell_angle_alpha 60.00
_cell_angle_beta 60.00
_cell_angle_gamma 60.00
_space_group_name_H-M_alt 'P 1'
_space_group_IT_number 1
loop_
_space_group_symop_operation_xyz
'x,y,z'
loop_
_atom_site_label
_atom_site_fract_x
_atom_site_fract_y
_atom_site_fract_z
Hg1 0.500 0.500 0.500
Al1 0.000 0.000 0.000
H1 0.750 0.750 0.750
H2 0.250 0.250 0.250
# Crystal system: cubic

12.
# TaTlZn, optimized geometry, DFT PBE
data_TaTlZn
_cell_length_a 4.436
_cell_length_b 4.436
_cell_length_c 4.436
_cell_angle_alpha 60.00
_cell_angle_beta 60.00
_cell_angle_gamma 60.00
_space_group_name_H-M_alt 'P 1'
_space_group_IT_number 1
loop_
_space_group_symop_operation_xyz
'x,y,z'
loop_
_atom_site_label
_atom_site_fract_x
_atom_site_fract_y
_atom_site_fract_z
Zn1 0.750 0.750 0.750
Tl1 0.500 0.500 0.500
Ta1 0.000 0.000 0.000
# Crystal system: cubic
# Energy of formation in eV/atom: 0.901

13.
# Tm3CdAu, optimized geometry, DFT PBE
data_Tm3CdAu
_cell_length_a 5.072
_cell_length_b 5.059
_cell_length_c 10.166
_cell_angle_alpha 90.00
_cell_angle_beta 75.55
_cell_angle_gamma 90.00
_space_group_name_H-M_alt 'P 1'
_space_group_IT_number 1
loop_
_space_group_symop_operation_xyz
'x,y,z'
loop_
_atom_site_label
_atom_site_fract_x
_atom_site_fract_y
_atom_site_fract_z
Au1 0.661 0.750 0.326
Tm1 0.075 0.750 0.498
Cd1 0.479 0.750 0.691
Tm2 0.263 0.750 0.122
Tm3 0.889 0.750 0.871
Tm4 0.573 0.250 0.502
Tm5 0.385 0.250 0.878
Tm6 0.760 0.250 0.129
Au2 0.987 0.250 0.674
Cd2 0.170 0.250 0.309
# Crystal system: orthorhombic
# Energy of formation in eV/atom: -0.435

14.
# ScTlPtO6, optimized geometry, DFT PBE
data_ScTlPtO6
_cell_length_a 5.387
_cell_length_b 5.387
_cell_length_c 9.293
_cell_angle_alpha 90.00
_cell_angle_beta 90.00
_cell_angle_gamma 120.00
_space_group_name_H-M_alt 'P 1'
_space_group_IT_number 1
loop_
_space_group_symop_operation_xyz
'x,y,z'
loop_
_atom_site_label
_atom_site_fract_x
_atom_site_fract_y
_atom_site_fract_z
Sc1 0.667 0.333 0.750
O1 0.353 0.983 0.632
O2 0.983 0.630 0.368
Pt1 0.333 0.667 0.750
Sc2 0.333 0.667 0.250
O3 0.017 0.370 0.632
O4 0.370 0.353 0.368
O5 0.353 0.370 0.868
Pt2 0.667 0.333 0.250
Tl1 0.000 0.000 0.500
O6 0.647 0.630 0.132
O7 0.647 0.017 0.368
O8 0.017 0.647 0.868
O9 0.630 0.983 0.868
Tl2 0.000 0.000 0.000
O10 0.370 0.017 0.132
O11 0.983 0.353 0.132
O12 0.630 0.647 0.632
# Energy relative to the elements, uncorrected in eV per atom: -1.192
# Crystal system: trigonal

15.
# Rb5HfSe5, optimized geometry, DFT PBE
data_Rb5HfSe5
_cell_length_a 6.365
_cell_length_b 8.409
_cell_length_c 9.182
_cell_angle_alpha 108.13
_cell_angle_beta 90.00
_cell_angle_gamma 112.24
_space_group_name_H-M_alt 'P 1'
_space_group_IT_number 1
loop_
_space_group_symop_operation_xyz
'x,y,z'
loop_
_atom_site_label
_atom_site_fract_x
_atom_site_fract_y
_atom_site_fract_z
Rb1 0.000 0.000 0.500
Rb2 0.698 0.395 0.304
Rb3 0.671 0.342 0.843
Se1 0.500 0.000 0.000
Rb4 0.302 0.605 0.696
Se2 0.132 0.264 0.277
Se3 0.125 0.251 0.867
Se4 0.875 0.749 0.133
Rb5 0.329 0.658 0.157
Se5 0.868 0.736 0.723
Hf1 0.000 0.000 0.000
# Energy relative to the elements, uncorrected in eV per atom: -1.023
# Crystal system: monoclinic

16.
# PrAlZn2Ag, optimized geometry, DFT PBE
data_PrAlZn2Ag
_cell_length_a 4.278
_cell_length_b 4.278
_cell_length_c 6.319
_cell_angle_alpha 109.79
_cell_angle_beta 109.79
_cell_angle_gamma 90.00
_space_group_name_H-M_alt 'P 1'
_space_group_IT_number 1
loop_
_space_group_symop_operation_xyz
'x,y,z'
loop_
_atom_site_label
_atom_site_fract_x
_atom_site_fract_y
_atom_site_fract_z
Zn1 0.388 0.388 0.777
Zn2 0.612 0.612 0.223
Ag1 0.750 0.250 0.500
Pr1 0.000 0.000 0.000
Al1 0.250 0.750 0.500
# Crystal system: tetragonal
# Energy of formation in eV/atom: -0.313

17.
# SrBe3Cu, optimized geometry, DFT PBE
data_SrBe3Cu
_cell_length_a 5.570
_cell_length_b 5.570
_cell_length_c 5.570
_cell_angle_alpha 90.00
_cell_angle_beta 90.00
_cell_angle_gamma 90.00
_space_group_name_H-M_alt 'P 1'
_space_group_IT_number 1
loop_
_space_group_symop_operation_xyz
'x,y,z'
loop_
_atom_site_label
_atom_site_fract_x
_atom_site_fract_y
_atom_site_fract_z
Cu1 0.500 0.500 0.500
Be1 0.000 0.500 0.000
Sr1 0.000 0.000 0.000
Be2 0.500 0.000 0.000
Be3 0.000 0.000 0.500
# Crystal system: cubic
# Energy of formation in eV/atom: 2.363

18.
# CsNbP2Se8, optimized geometry, DFT PBE
data_CsNbP2Se8
_cell_length_a 6.433
_cell_length_b 6.433
_cell_length_c 11.077
_cell_angle_alpha 73.12
_cell_angle_beta 73.12
_cell_angle_gamma 60.00
_space_group_name_H-M_alt 'P 1'
_space_group_IT_number 1
loop_
_space_group_symop_operation_xyz
'x,y,z'
loop_
_atom_site_label
_atom_site_fract_x
_atom_site_fract_y
_atom_site_fract_z
Se1 0.297 0.943 0.136
Se2 0.624 0.297 0.136
Cs1 0.500 0.500 0.500
Se3 0.057 0.376 0.864
P1 0.734 0.734 0.798
Se4 0.197 0.197 0.408
P2 0.266 0.266 0.202
Se5 0.943 0.624 0.136
Nb1 0.000 0.000 0.000
Se6 0.376 0.703 0.864
Se7 0.703 0.057 0.864
Se8 0.803 0.803 0.592
# Energy relative to the elements, uncorrected in eV per atom: -0.366
# Crystal system: trigonal

19.
# CdIrAu2, optimized geometry, DFT PBE
data_CdIrAu2
_cell_length_a 9.575
_cell_length_b 9.575
_cell_length_c 9.575
_cell_angle_alpha 17.59
_cell_angle_beta 17.59
_cell_angle_gamma 17.59
_space_group_name_H-M_alt 'P 1'
_space_group_IT_number 1
loop_
_space_group_symop_operation_xyz
'x,y,z'
loop_
_atom_site_label
_atom_site_fract_x
_atom_site_fract_y
_atom_site_fract_z
Ir1 0.750 0.750 0.750
Au1 0.250 0.250 0.250
Au2 0.002 0.002 0.002
Cd1 0.497 0.497 0.497
# Crystal system: trigonal
# Energy of formation in eV/atom: 0.175

20.
# CaTcAu, optimized geometry, DFT PBE
data_CaTcAu
_cell_length_a 4.782
_cell_length_b 4.782
_cell_length_c 2.981
_cell_angle_alpha 90.00
_cell_angle_beta 90.00
_cell_angle_gamma 120.00
_space_group_name_H-M_alt 'P 1'
_space_group_IT_number 1
loop_
_space_group_symop_operation_xyz
'x,y,z'
loop_
_atom_site_label
_atom_site_fract_x
_atom_site_fract_y
_atom_site_fract_z
Au1 0.000 0.000 0.833
Tc1 0.667 0.333 0.834
Ca1 0.333 0.667 0.333
# Crystal system: hexagonal
# Energy of formation in eV/atom: 0.345

Taking the records one at a time from the top gives electronic total energy values of -6.128; -10.813; -3.879; -6.184; -4.802; -3.464; -2.471; -5.543; -7.687; -4.414; -1.957; -4.263; -3.956; -6.135; -3.951; -3.097; -1.028; -4.501; -3.907; -4.870 eV per atom.
Taking the records one at a time from the top gives density values of 4.205; 17.035; 7.869; 6.223; 5.670; 4.163; 3.309; 9.595; 4.799; 7.196; 7.596; 12.127; 10.732; 7.684; 3.879; 6.650; 1.713; 4.082; 16.567; 9.421 Mg/m³.